(w)
Compound: Hg2IrF
Source: Alexandria
Functional: PBE
Structure: optimized geometry

Values from the calculation:
The calculation puts the total magnetization at 0.0000 μB/atom.

Cell: 5.2860 5.2860 8.1124 Å, 70.99 70.99 90.00°
Sites, in units of the cell vectors:
Ir (0.0000, 0.0000, 0.0000)
Ir (0.7500, 0.2500, 0.5000)
Hg (0.6149, 0.1250, 0.2500)
Hg (0.1351, 0.6250, 0.2500)
Hg (0.3750, 0.3851, 0.7500)
Hg (0.8750, 0.8649, 0.7500)
F (0.5000, 0.5000, 0.0000)
F (0.2500, 0.7500, 0.5000)

***

(x)
Compound: Hg2IrF
Source: Alexandria
Functional: PBE
Structure: optimized geometry

Values from the calculation:
The calculation puts the total magnetization at 0.0000 μB/atom.

Cell: 4.6151 4.6151 4.6151 Å, 60.00 60.00 60.00°
Sites, in units of the cell vectors:
Ir (0.5000, 0.5000, 0.5000)
Hg (0.2500, 0.2500, 0.2500)
Hg (0.7500, 0.7500, 0.7500)
F (0.0000, 0.0000, 0.0000)

***

Most stable = (x)

***

(w)
Compound: HgIr2F
Source: Alexandria
Functional: PBE
Structure: optimized geometry

Values from the calculation:
The calculation puts the total magnetization at 0.0000 μB/atom.

Cell: 3.5836 3.5836 10.8728 Å, 80.51 80.51 90.00°
Sites, in units of the cell vectors:
Ir (0.1294, 0.1250, 0.2500)
Ir (0.6206, 0.6250, 0.2500)
Ir (0.3750, 0.8706, 0.7500)
Ir (0.8750, 0.3794, 0.7500)
Hg (0.0000, 0.0000, 0.0000)
Hg (0.7500, 0.2500, 0.5000)
F (0.5000, 0.5000, 0.0000)
F (0.2500, 0.7500, 0.5000)

***

(x)
Compound: HgIr2F
Source: Alexandria
Functional: PBE
Structure: optimized geometry

Values from the calculation:
The calculation puts the total magnetization at 0.6627 μB/atom.

Cell: 4.4630 4.4630 4.4630 Å, 60.00 60.00 60.00°
Sites, in units of the cell vectors:
Ir (0.2500, 0.2500, 0.2500)
Ir (0.7500, 0.7500, 0.7500)
Hg (0.5000, 0.5000, 0.5000)
F (0.0000, 0.0000, 0.0000)

***

Most stable = (w)